The following is a DFT calculation (GGA-PBEsol) of crystalline La9Sb5O5 at its relaxed geometry.

Output
Crystal system: tetragonal
Calculated total energy, eV/cell: -279.31
Symmetry: No. 85
Calculated volume, Å³/f.u.: 495
DOS(E_F), states/eV per cell: 12.2

a b c (Å): 10.3366 10.3366 9.2690
angles (deg): 90.00 90.00 90.00
With the nearest neighbours (Å) after each atom.
Fractional positions:
La  0.0228  0.3304  0.0019  3 O 2.30-2.44
La  0.0466  0.8536  0.6560  1 O 2.36
La  0.1464  0.5466  0.3440  1 O 2.36
La  0.1696  0.0228  0.0019  3 O 2.30-2.44
La  0.2500  0.2500  0.6695  1 O 2.39
La  0.3304  0.4772  0.0019  3 O 2.30-2.44
La  0.3536  0.9534  0.3440  1 O 2.36
La  0.4534  0.6464  0.6560  1 O 2.36
La  0.4772  0.1696  0.0019  3 O 2.30-2.44
La  0.5228  0.8304  0.9981  3 O 2.30-2.44
La  0.5466  0.3536  0.3440  1 O 2.36
La  0.6464  0.0466  0.6560  1 O 2.36
La  0.6696  0.5228  0.9981  3 O 2.30-2.44
La  0.7500  0.7500  0.3305  1 O 2.39
La  0.8304  0.9772  0.9981  3 O 2.30-2.44
La  0.8536  0.4534  0.6560  1 O 2.36
La  0.9534  0.1464  0.3440  1 O 2.36
La  0.9772  0.6696  0.9981  3 O 2.30-2.44
Sb  0.0525  0.8476  0.2976  7 La 3.28-3.50, 2 O 3.57-3.62
Sb  0.1524  0.5525  0.7024  7 La 3.28-3.50, 2 O 3.57-3.62
Sb  0.2500  0.2500  0.3082  5 La 3.26-3.35, 1 O 3.53
Sb  0.3476  0.9475  0.7024  7 La 3.28-3.50, 2 O 3.57-3.62
Sb  0.4475  0.6524  0.2976  7 La 3.28-3.50, 2 O 3.57-3.62
Sb  0.5525  0.3476  0.7024  7 La 3.28-3.50, 2 O 3.57-3.62
Sb  0.6524  0.0525  0.2976  7 La 3.28-3.50, 2 O 3.57-3.62
Sb  0.7500  0.7500  0.6918  5 La 3.26-3.35, 1 O 3.53
Sb  0.8476  0.4475  0.2976  7 La 3.28-3.50, 2 O 3.57-3.62
Sb  0.9475  0.1524  0.7024  7 La 3.28-3.50, 2 O 3.57-3.62
O  0.0261  0.8717  0.9086  4 La 2.30-2.44
O  0.1283  0.5261  0.0914  4 La 2.30-2.44
O  0.2500  0.2500  0.9273  5 La 2.39-2.59
O  0.3717  0.9739  0.0914  4 La 2.30-2.44
O  0.4739  0.6283  0.9086  4 La 2.30-2.44
O  0.5261  0.3717  0.0914  4 La 2.30-2.44
O  0.6283  0.0261  0.9086  4 La 2.30-2.44
O  0.7500  0.7500  0.0727  5 La 2.39-2.59
O  0.8717  0.4739  0.9086  4 La 2.30-2.44
O  0.9739  0.1283  0.0914  4 La 2.30-2.44